# Na2TcPd

An optimized crystal structure of Na2TcPd (PBE-GGA, the Alexandria database).

Output
Energy = -3.618 eV per atom
Calculated formation energy = 931 meV/atom
Distance to the lowest polymorph of the same formula = 0.00 eV/f.u.
Crystal system = cubic

Lattice parameters (Å, degrees): 4.794 4.794 4.794 60.00 60.00 60.00
Fractional positions:
Na: 0.250 0.250 0.250
Na: 0.750 0.750 0.750
Tc: 0.000 0.000 0.000
Pd: 0.500 0.500 0.500